The following is a PBE-GGA calculation of an optimized crystal structure of HOsRu2, from Alexandria via LeMat-Bulk. Values from VASP.

Total magnetic moment: 0.00 μB/cell
Calculated volume: 50 Å³ per cell
E above lowest polymorph: 686 meV per atom

Cell and atoms, written as Quantum ESPRESSO input:
```
&SYSTEM
  ibrav = 0, nat = 4, ntyp = 3
/
ATOMIC_SPECIES
Os 190.23 Os.upf
H 1.01 H.upf
Ru 101.07 Ru.upf
CELL_PARAMETERS angstrom
0.000 2.931 2.931
2.931 0.000 2.931
2.931 2.931 0.000
ATOMIC_POSITIONS angstrom
Os 2.931 2.931 2.931
H 0.000 0.000 0.000
Ru 1.465 1.465 1.465
Ru 4.396 4.396 4.396
```

***

The following is a PBE-GGA calculation of an optimized crystal structure of TcOs4Ru2, from Alexandria via LeMat-Bulk. Values from VASP.

Total magnetic moment: 0.00 μB/cell
Calculated volume: 108 Å³ per cell
Energy of formation from the pure elements: 0.5429 eV/atom

Cell and atoms, written as Quantum ESPRESSO input:
```
&SYSTEM
  ibrav = 0, nat = 7, ntyp = 3
/
ATOMIC_SPECIES
Os 190.23 Os.upf
Tc 98.00 Tc.upf
Ru 101.07 Ru.upf
CELL_PARAMETERS angstrom
3.819 0.000 0.000
0.000 8.252 -1.604
0.000 -1.089 3.647
ATOMIC_POSITIONS angstrom
Os 3.819 1.304 2.359
Os 3.819 5.860 -0.316
Os 1.909 5.316 1.467
Os 1.909 1.848 0.576
Tc 0.000 0.000 0.000
Ru 3.819 3.582 1.021
Ru 1.909 -0.544 1.823
```

***

The following is a PBE-GGA calculation of an optimized crystal structure of TaMnNiPt2, from Alexandria via LeMat-Bulk. Values from VASP.

Total magnetic moment: 0.00 μB/cell
Calculated volume: 83 Å³ per cell
Energy of formation from the pure elements: 0.8922 eV/atom

Cell and atoms, written as Quantum ESPRESSO input:
```
&SYSTEM
  ibrav = 0, nat = 5, ntyp = 4
/
ATOMIC_SPECIES
Pt 195.08 Pt.upf
Ta 180.95 Ta.upf
Mn 54.94 Mn.upf
Ni 58.69 Ni.upf
CELL_PARAMETERS angstrom
4.554 0.000 0.000
0.000 4.011 0.000
0.000 0.000 4.554
ATOMIC_POSITIONS angstrom
Pt 2.277 0.000 0.000
Pt 0.000 0.000 2.277
Ta 2.277 2.005 2.277
Mn 0.000 2.005 0.000
Ni 0.000 0.000 0.000
```

***

The following is a PBE-GGA calculation of an optimized crystal structure of LiCdIn2Cl5, from Alexandria via LeMat-Bulk. Values from VASP.

Total magnetic moment: 0.00 μB/cell
Calculated volume: 501 Å³ per cell
Energy relative to the elements, uncorrected: -1.126 eV per atom

Cell and atoms, written as Quantum ESPRESSO input:
```
&SYSTEM
  ibrav = 0, nat = 18, ntyp = 4
/
ATOMIC_SPECIES
Li 6.94 Li.upf
In 114.82 In.upf
Cl 35.45 Cl.upf
Cd 112.41 Cd.upf
CELL_PARAMETERS angstrom
-2.890 2.622 -0.960
-4.776 -7.600 2.027
-0.763 4.018 13.267
ATOMIC_POSITIONS angstrom
Li -2.882 4.356 12.159
Li -5.835 -3.795 7.194
In -6.606 -3.109 2.980
In -1.695 1.479 9.137
In -6.660 -0.042 11.517
In -1.872 -0.368 4.627
Cl -4.395 -4.437 1.108
Cl -1.705 2.436 3.373
Cl -7.381 -2.137 7.967
Cl -3.654 1.478 6.623
Cl -6.784 -3.076 12.015
Cl -4.255 -0.796 2.220
Cl -0.716 -0.566 0.610
Cl -4.167 -2.311 6.227
Cl -4.486 2.533 12.006
Cl -4.026 -0.942 9.542
Cd -5.487 -0.255 7.406
Cd -2.599 -2.503 0.989
```

***

The following is a PBE-GGA calculation of an optimized crystal structure of BeIrF, from Alexandria via LeMat-Bulk. Values from VASP.

Total magnetic moment: 0.00 μB/cell
Calculated volume: 65 Å³ per cell
Energy relative to the elements, uncorrected: -0.233 eV per atom
E above lowest polymorph: 1190 meV per atom

Cell and atoms, written as Quantum ESPRESSO input:
```
&SYSTEM
  ibrav = 0, nat = 6, ntyp = 3
/
ATOMIC_SPECIES
Ir 192.22 Ir.upf
Be 9.01 Be.upf
F 19.00 F.upf
CELL_PARAMETERS angstrom
-2.665 1.004 1.141
-0.957 -2.898 0.315
2.666 -0.186 6.388
ATOMIC_POSITIONS angstrom
Ir 0.192 -1.496 1.765
Ir 0.663 0.363 5.351
Be -1.128 0.488 1.060
Be 1.984 -1.621 6.056
F -0.478 -1.040 3.922
F 1.333 -0.093 3.194
```

***

The following is a PBE-GGA calculation of an optimized crystal structure of CdIn2Pt9, from Alexandria via LeMat-Bulk. Values from VASP.

Total magnetic moment: 0.00 μB/cell
Calculated volume: 199 Å³ per cell
Energy of formation from the pure elements: -0.3111 eV/atom

Cell and atoms, written as Quantum ESPRESSO input:
```
&SYSTEM
  ibrav = 0, nat = 12, ntyp = 3
/
ATOMIC_SPECIES
Pt 195.08 Pt.upf
In 114.82 In.upf
Cd 112.41 Cd.upf
CELL_PARAMETERS angstrom
-2.073 -0.171 3.471
1.155 -3.846 0.501
9.828 3.739 6.054
ATOMIC_POSITIONS angstrom
Pt 2.220 -1.298 1.262
Pt 8.763 1.191 5.293
Pt 0.606 0.540 2.747
Pt 3.877 1.784 4.762
Pt 7.149 3.029 6.778
Pt -0.459 -2.008 1.986
Pt 6.087 0.482 6.018
Pt 2.823 -0.759 4.007
Pt 5.491 -0.053 3.277
In 3.267 1.243 2.013
In 6.561 2.496 4.042
Cd 0.000 0.000 0.000
```

***

The following is a PBE-GGA calculation of an optimized crystal structure of SrCd2Br, from Alexandria via LeMat-Bulk. Values from VASP.

Total magnetic moment: 0.00 μB/cell
Calculated volume: 121 Å³ per cell
Energy relative to the elements, uncorrected: -0.515 eV per atom
E above lowest polymorph: 174 meV per atom

Cell and atoms, written as Quantum ESPRESSO input:
```
&SYSTEM
  ibrav = 0, nat = 4, ntyp = 3
/
ATOMIC_SPECIES
Br 79.90 Br.upf
Sr 87.62 Sr.upf
Cd 112.41 Cd.upf
CELL_PARAMETERS angstrom
-4.048 2.138 3.147
-5.203 0.217 -1.936
-3.902 -3.324 2.143
ATOMIC_POSITIONS angstrom
Br -6.576 -0.484 1.677
Sr -9.865 -0.726 2.515
Cd -3.288 -0.242 0.838
Cd 0.000 0.000 0.000
```

***

The following is a PBE-GGA calculation of an optimized crystal structure of KReHgAu2, from Alexandria via LeMat-Bulk. Values from VASP.

Total magnetic moment: 5.73 μB/cell
Calculated volume: 196 Å³ per cell
Energy of formation from the pure elements: 1.9014 eV/atom

Cell and atoms, written as Quantum ESPRESSO input:
```
&SYSTEM
  ibrav = 0, nat = 5, ntyp = 4
/
ATOMIC_SPECIES
Au 196.97 Au.upf
Hg 200.59 Hg.upf
K 39.10 K.upf
Re 186.21 Re.upf
CELL_PARAMETERS angstrom
-2.073 3.391 -4.204
-2.713 -4.598 -2.371
-4.686 1.111 3.207
ATOMIC_POSITIONS angstrom
Au -1.037 1.695 -2.102
Au -2.343 0.555 1.603
Hg -1.356 -2.299 -1.186
K 0.000 0.000 0.000
Re -4.736 -0.049 -1.684
```

***

The following is a PBE-GGA calculation of an optimized crystal structure of Y8Ga2Co, from Alexandria via LeMat-Bulk. Values from VASP.

Total magnetic moment: 0.00 μB/cell
Calculated volume: 291 Å³ per cell
Energy of formation from the pure elements: -0.2459 eV/atom

Cell and atoms, written as Quantum ESPRESSO input:
```
&SYSTEM
  ibrav = 0, nat = 11, ntyp = 3
/
ATOMIC_SPECIES
Y 88.91 Y.upf
Co 58.93 Co.upf
Ga 69.72 Ga.upf
CELL_PARAMETERS angstrom
4.942 0.000 0.000
0.000 6.599 0.339
-2.471 -2.377 8.809
ATOMIC_POSITIONS angstrom
Y 2.471 -0.842 8.482
Y 2.471 5.743 2.964
Y 0.000 1.097 3.801
Y 0.000 -1.522 6.183
Y 2.471 3.124 5.346
Y 0.000 1.659 7.419
Y 0.000 5.064 0.666
Y 2.471 2.563 1.729
Co 2.471 0.000 0.000
Ga 2.471 0.137 5.582
Ga 0.000 4.084 3.566
```

***

The following is a PBE-GGA calculation of an optimized crystal structure of Ac3Tb2Hg3, from Alexandria via LeMat-Bulk. Values from VASP.

Total magnetic moment: 0.00 μB/cell
Calculated volume: 263 Å³ per cell
Energy of formation from the pure elements: -0.3472 eV/atom

Cell and atoms, written as Quantum ESPRESSO input:
```
&SYSTEM
  ibrav = 0, nat = 8, ntyp = 3
/
ATOMIC_SPECIES
Tb 158.93 Tb.upf
Hg 200.59 Hg.upf
Ac 227.00 Ac.upf
CELL_PARAMETERS angstrom
-1.905 3.165 1.384
-4.569 -3.229 1.096
7.367 -2.172 9.483
ATOMIC_POSITIONS angstrom
Tb -0.087 -2.787 6.254
Tb 0.980 0.551 5.710
Hg -2.284 -1.614 0.548
Hg -0.179 -1.664 9.180
Hg 1.072 -0.572 2.784
Ac -0.953 1.583 0.692
Ac 3.110 -1.660 8.076
Ac -2.217 -0.576 3.887
```

***

Number 1: E_tot -7.525 eV/atom. Number 2: E_tot -10.005 eV/atom. Number 3: E_tot -6.885 eV/atom. Number 4: E_tot -3.074 eV/atom. Number 5: E_tot -5.053 eV/atom. Number 6: E_tot -5.374 eV/atom. Number 7: E_tot -1.812 eV/atom. Number 8: E_tot -2.179 eV/atom. Number 9: E_tot -6.143 eV/atom. Number 10: E_tot -3.159 eV/atom.